# 1
Computed, not measured: an optimized crystal structure of CaTlBr2 at the PBEsol level of DFT.

Excess energy over the best structure of this formula in the dataset = 306 meV/atom
Formation energy (no corrections) = -0.990 eV/atom
Symmetry = C2/m (12)
Magnetization = 0.1 μB per formula unit

abc: 3.8918 5.7117 5.7117
angles: 100.93 102.74 102.74
Closest atoms and distances in Å follow each position.
Fractional coordinates of all 4 atoms:
1 Br 0.0000 0.5000 0.0000  2 Ca 3.08, 2 Tl 3.08
2 Br 0.0000 0.0000 0.5000  2 Tl 3.08, 2 Ca 3.08
3 Tl 0.5000 0.0000 0.0000  4 Br 3.08
4 Ca 0.5000 0.5000 0.5000  4 Br 3.08

=====

# 2
Computed, not measured: an optimized crystal structure of CdOsCl3 at the PBEsol level of DFT.

Formation energy (no corrections) = 0.892 eV/atom
Symmetry = Pm-3m (221)
Magnetization = 5.0 μB per formula unit

abc: 5.0698 5.0698 5.0698
angles: 90.00 90.00 90.00
Closest atoms and distances in Å follow each position.
Fractional coordinates of all 5 atoms:
1 Cl 0.5000 0.0000 0.0000  2 Cd 2.53
2 Cl 0.0000 0.0000 0.5000  2 Cd 2.53
3 Cl 0.0000 0.5000 0.0000  2 Cd 2.53
4 Cd 0.0000 0.0000 0.0000  6 Cl 2.53
5 Os 0.5000 0.5000 0.5000  12 Cl 3.58

=====

# 3
Computed, not measured: an optimized crystal structure of La6NbGa11O28 at the PBEsol level of DFT.

Formation energy (no corrections) = -2.508 eV/atom
Symmetry = C2 (5)
Magnetization = 0.0 μB per formula unit

abc: 8.1896 9.6731 9.6678
angles: 64.03 64.94 64.96
Closest atoms and distances in Å follow each position.
Fractional coordinates of all 46 atoms:
1 O 0.5482 0.7249 0.4120  2 Ga 1.85-1.91
2 O 0.9349 0.0479 0.8013  2 Ga 1.83-2.01
3 O 0.0637 0.7684 0.0177  2 Ga 1.83-2.02
4 O 0.3092 0.4280 0.1225  2 Ga 1.85-1.89
5 O 0.8597 0.5720 0.8775  2 Ga 1.85-1.89
6 O 0.3296 0.0791 0.2573  1 Ga 1.81
7 O 0.6927 0.7789 0.0681  2 Ga 1.85-1.86
8 O 0.6660 0.9209 0.7427  1 Ga 1.81
9 O 0.4600 0.6965 0.9918  2 Ga 1.86
10 O 0.8487 0.0841 0.3787  2 Ga 1.86
11 O 0.8499 0.2316 0.9823  2 Ga 1.83-2.02
12 O 0.2149 0.0901 0.8431  2 Ga 1.83-2.02
13 O 0.1445 0.4243 0.6568  1 Ga 1.88, 1 Nb 2.00
14 O 0.9184 0.5454 0.3129  1 Ga 1.88, 1 Nb 2.01
15 O 0.3116 0.9159 0.6213  2 Ga 1.86
16 O 0.6852 0.2751 0.5880  2 Ga 1.85-1.91
17 O 0.8579 0.7283 0.4949  1 Ga 1.88, 1 Nb 2.01
18 O 0.3370 0.5760 0.7552  1 Ga 1.81
19 O 0.7840 0.9521 0.1987  2 Ga 1.83-2.01
20 O 0.1481 0.9099 0.1569  2 Ga 1.83-2.02
21 O 0.1412 0.8085 0.5017  2 Ga 1.85-1.90
22 O 0.6683 0.4240 0.2448  1 Ga 1.81
23 O 0.7766 0.4546 0.6871  1 Ga 1.88, 1 Nb 2.01
24 O 0.2256 0.5757 0.3432  1 Ga 1.88, 1 Nb 2.00
25 O 0.5396 0.2211 0.9319  2 Ga 1.85-1.86
26 O 0.1483 0.3035 0.0082  2 Ga 1.86
27 O 0.0811 0.2717 0.5051  1 Ga 1.88, 1 Nb 2.01
28 O 0.4513 0.1915 0.4983  2 Ga 1.85-1.90
29 Ga 0.6613 0.1015 0.5707  4 O 1.81-1.86
30 Ga 0.3336 0.8985 0.4293  4 O 1.81-1.86
31 Ga 0.7582 0.2445 0.7649  4 O 1.83-1.91
32 Ga 0.7677 0.7555 0.2351  4 O 1.83-1.91
33 Ga 0.6715 0.5969 0.0648  4 O 1.81-1.86
34 Ga 0.9986 0.0000 0.0000  6 O 2.01-2.02
35 Ga 0.2405 0.6401 0.1257  4 O 1.83-1.89
36 Ga 0.3332 0.4031 0.9352  4 O 1.81-1.86
37 Ga 0.9925 0.8796 0.3636  4 O 1.83-1.90
38 Ga 0.2358 0.1204 0.6364  4 O 1.83-1.90
39 Ga 0.0063 0.3599 0.8743  4 O 1.83-1.89
40 La 0.5739 0.7143 0.7133  6 O 2.40-2.60
41 La 0.5758 0.2106 0.2124  6 O 2.38-2.65
42 La 0.9987 0.7894 0.7876  6 O 2.38-2.65
43 La 0.4190 0.0000 0.0000  6 O 2.37-2.64
44 La 0.4335 0.5000 0.5000  6 O 2.40-2.59
45 La 0.0015 0.2858 0.2867  6 O 2.40-2.60
46 Nb 0.0021 0.5000 0.5000  6 O 2.00-2.01

=====

# 4
Computed, not measured: an optimized crystal structure of CaTa2Tl at the PBEsol level of DFT.

Excess energy over the best structure of this formula in the dataset = 10 meV/atom
Symmetry = P2/m (10)
Energy relative to the elements = 556 meV/atom
Magnetization = 0.0 μB per formula unit

abc: 3.0113 5.2264 5.5333
angles: 107.92 90.00 90.00
Closest atoms and distances in Å follow each position.
Fractional coordinates of all 4 atoms:
1 Ta 0.5000 0.5000 0.0000  6 Ta 3.01-3.02, 4 Ca 3.15, 2 Tl 3.17
2 Ta 0.0000 0.0000 0.0000  6 Ta 3.01-3.02, 4 Tl 3.15, 2 Ca 3.17
3 Ca 0.0000 0.5000 0.5000  2 Ca 3.01, 4 Tl 3.02, 6 Ta 3.15-3.17
4 Tl 0.5000 0.0000 0.5000  2 Tl 3.01, 4 Ca 3.02, 6 Ta 3.15-3.17

=====

# 5
Computed, not measured: an optimized crystal structure of K2HPd at the PBEsol level of DFT.

VASP energy = -9.7 eV/cell
Symmetry = Fm-3m (225)
Magnetization = 0.4 μB per formula unit

abc: 5.1746 5.1746 5.1746
angles: 60.00 60.00 60.00
Closest atoms and distances in Å follow each position.
Fractional coordinates of all 4 atoms:
1 Pd 0.5000 0.5000 0.5000  8 K 3.17
2 K 0.7500 0.7500 0.7500  4 H 3.17, 4 Pd 3.17
3 K 0.2500 0.2500 0.2500  4 H 3.17, 4 Pd 3.17
4 H 0.0000 0.0000 0.0000  8 K 3.17

=====

# 6
Computed, not measured: an optimized crystal structure of Ni3HAu at the PBEsol level of DFT.

Excess energy over the best structure of this formula in the dataset = 1938 meV/atom
Symmetry = Pm-3m (221)
Magnetization = 2.2 μB per formula unit

abc: 4.6304 4.6304 4.6304
angles: 90.00 90.00 90.00
Closest atoms and distances in Å follow each position.
Fractional coordinates of all 5 atoms:
1 Ni 0.0000 0.0000 0.5000  2 Au 2.32
2 Ni 0.0000 0.5000 0.0000  2 Au 2.32
3 Ni 0.5000 0.0000 0.0000  2 Au 2.32
4 H 0.5000 0.5000 0.5000  12 Ni 3.27
5 Au 0.0000 0.0000 0.0000  6 Ni 2.32

=====

# 7
Computed, not measured: an optimized crystal structure of BeHgN2 at the PBEsol level of DFT.

Formation energy (no corrections) = 0.820 eV/atom
Symmetry = R-3m (166)
Magnetization = 0.1 μB per formula unit

abc: 2.9067 2.9067 6.1802
angles: 76.40 76.40 60.00
Closest atoms and distances in Å follow each position.
Fractional coordinates of all 4 atoms:
1 Be 0.5000 0.5000 0.5000  6 N 1.89
2 Hg 0.0000 0.0000 0.0000  2 N 2.10
3 N 0.1178 0.1178 0.6466  3 Be 1.89, 1 Hg 2.10
4 N 0.8822 0.8822 0.3534  3 Be 1.89, 1 Hg 2.10

=====

# 8
Computed, not measured: an optimized crystal structure of AuIO2F at the PBEsol level of DFT.

Formation energy (no corrections) = 0.122 eV/atom
Symmetry = P4/mmm (123)
Magnetization = 0.0 μB per formula unit

abc: 4.0422 4.0422 4.7203
angles: 90.00 90.00 90.00
Closest atoms and distances in Å follow each position.
Fractional coordinates of all 5 atoms:
1 Au 0.5000 0.5000 0.5000  4 F 2.86, 8 O 3.11
2 F 0.0000 0.0000 0.5000  2 I 2.36
3 I 0.0000 0.0000 0.0000  4 O 2.02
4 O 0.5000 0.0000 0.0000  2 I 2.02
5 O 0.0000 0.5000 0.0000  2 I 2.02